Sm2EuLu: relaxed, PBE-GGA.

The structure in CIF format:
```
data_Sm2EuLu
_space_group_name_H-M_alt 'F m -3 m'
_space_group_IT_number 225
_space_group_name_Hall '-F 4 2 3'
_cell_length_a 8.168
_cell_length_b 8.168
_cell_length_c 8.168
_cell_angle_alpha 90.00
_cell_angle_beta 90.00
_cell_angle_gamma 90.00
loop_
_atom_site_label
_atom_site_fract_x
_atom_site_fract_y
_atom_site_fract_z
Sm1 0.250 0.250 0.250
Eu1 0.000 0.000 0.000
Lu1 0.000 0.000 0.500
```

Summary:
E_form ... 0.142 eV per atom
V ... 544.8 Å³/cell
Offset from the most stable computed form ... 1.5 kJ/mol of formula units
Total magnetic moment ... 1.930 μB per atom